# 1
A relaxed structure of Nd4BeO7, computed with PBE-GGA.

a b c (Å): 6.8021 6.8021 8.7663
angles (deg): 130.10 130.10 34.72
Closest atoms and distances in Å follow each position.
Positions (direct):
Nd 0.0829 0.0829 0.2852  5 O 2.35-2.54
Nd 0.2365 0.2365 0.8304  4 O 2.24-2.41
Nd 0.7635 0.7635 0.1696  4 O 2.24-2.41
Nd 0.9171 0.9171 0.7148  5 O 2.35-2.54
Be 0.5000 0.5000 0.5000  2 O 1.61
O 0.0000 0.0000 0.5000  2 Be 2.03
O 0.1363 0.1363 0.0550  4 Nd 2.35-2.54
O 0.3008 0.3008 0.6495  4 Nd 2.24-2.45
O 0.4253 0.4253 0.2613  1 Be 1.61
O 0.5747 0.5747 0.7387  1 Be 1.61
O 0.6992 0.6992 0.3505  4 Nd 2.24-2.45
O 0.8637 0.8637 0.9450  4 Nd 2.35-2.54

## Properties
crystal system	monoclinic
energy	-94.4	eV per cell
uncorrected formation energy	-36.9	eV per formula unit
total magnetic moment	0.0	μB per cell
symmetry	C2/m (12)

---

# 2
A relaxed structure of Ce2NpMoN5, computed with PBE-GGA.

a b c (Å): 7.4271 7.4271 7.4271
angles (deg): 127.08 127.08 78.13
Closest atoms and distances in Å follow each position.
Positions (direct):
Ce 0.1708 0.6708 0.8416  4 N 2.33-2.45
Ce 0.3292 0.1708 0.5000  4 N 2.33-2.45
Ce 0.6708 0.8292 0.5000  4 N 2.33-2.45
Ce 0.8292 0.3292 0.1584  4 N 2.33-2.45
Np 0.2500 0.2500 0.0000  10 N 2.77-2.88
Np 0.7500 0.7500 0.0000  10 N 2.77-2.88
Mo 0.2500 0.7500 0.5000  4 N 1.89
Mo 0.7500 0.2500 0.5000  4 N 1.89
N 0.0000 0.0000 0.0000  4 Ce 2.45
N 0.0106 0.1964 0.5000  1 Mo 1.89
N 0.1964 0.6964 0.1858  1 Mo 1.89
N 0.3036 0.4894 0.5000  1 Mo 1.89
N 0.4894 0.9894 0.1858  1 Mo 1.89
N 0.5000 0.5000 0.0000  4 Ce 2.45
N 0.5106 0.0106 0.8142  1 Mo 1.89
N 0.6964 0.5106 0.5000  1 Mo 1.89
N 0.8036 0.3036 0.8142  1 Mo 1.89
N 0.9894 0.8036 0.5000  1 Mo 1.89

## Properties
crystal system	tetragonal
energy	-172.5	eV per cell
uncorrected formation energy	-9.0	eV per formula unit
total magnetic moment	9.6	μB per cell
symmetry	I4/mcm (140)

---

# 3
A relaxed structure of ZnReIr2Pb, computed with PBE-GGA.

a b c (Å): 4.7904 4.7904 4.8760
angles (deg): 90.00 90.00 90.00
Closest atoms and distances in Å follow each position.
Positions (direct):
Zn 0.0000 0.0000 0.0000  2 Re 2.44
Re 0.0000 0.0000 0.5000  4 Ir 2.40, 2 Zn 2.44
Ir 0.0000 0.5000 0.5000  2 Re 2.40
Ir 0.5000 0.0000 0.5000  2 Re 2.40
Pb 0.5000 0.5000 0.0000  4 Zn 3.39, 8 Ir 3.42

## Properties
formation energy	1.014	eV per atom
crystal system	tetragonal
energy	-30.1	eV per cell
total magnetic moment	0.0	μB per cell
symmetry	P4/mmm (123)

---

# 4
A relaxed structure of Ge2BiPd7, computed with PBE-GGA.

a b c (Å): 10.7008 10.7008 10.7008
angles (deg): 157.98 157.98 31.33
Closest atoms and distances in Å follow each position.
Positions (direct):
Ge 0.1756 0.1756 0.0000  8 Pd 2.50-2.55
Ge 0.8244 0.8244 0.0000  8 Pd 2.50-2.55
Bi 0.5000 0.5000 0.0000  12 Pd 2.89-2.98
Pd 0.0000 0.0000 0.0000  4 Bi 2.89, 8 Pd 2.98
Pd 0.1053 0.6053 0.5000  2 Ge 2.50
Pd 0.2500 0.7500 0.5000  4 Ge 2.55
Pd 0.3947 0.8947 0.5000  2 Ge 2.50
Pd 0.6053 0.1053 0.5000  2 Ge 2.50
Pd 0.7500 0.2500 0.5000  4 Ge 2.55
Pd 0.8947 0.3947 0.5000  2 Ge 2.50

## Properties
formation energy	-0.393	eV per atom
crystal system	tetragonal
relative energy among the computed polymorphs	0.000	eV/atom
energy	-53.4	eV per cell
total magnetic moment	0.0	μB per cell
symmetry	I4/mmm (139)

---

# 5
A relaxed structure of SbOs2Au, computed with PBE-GGA.

a b c (Å): 6.0117 6.0117 6.0117
angles (deg): 152.26 134.31 54.29
Closest atoms and distances in Å follow each position.
Positions (direct):
Sb 0.0000 0.0000 0.0000  6 Os 2.85, 2 Sb 2.88, 2 Au 3.16
Os 0.5726 0.5726 0.0000  2 Os 2.56, 4 Sb 2.85
Os 0.7699 0.2699 0.5000  2 Os 2.56, 4 Au 2.76, 2 Sb 2.85
Au 0.3007 0.8007 0.5000  4 Os 2.76, 2 Au 2.88

## Properties
crystal system	orthorhombic
energy	-27.1	eV per cell
uncorrected formation energy	2.7	eV per formula unit
total magnetic moment	0.0	μB per cell
symmetry	Imm2 (44)

---

# 6
A relaxed structure of LiY2Ta, computed with PBE-GGA.

a b c (Å): 5.8620 5.8620 5.4855
angles (deg): 107.28 107.28 32.45
Closest atoms and distances in Å follow each position.
Positions (direct):
Li 0.0000 0.0000 0.0000  2 Ta 2.91, 5 Y 3.17-3.20
Y 0.2455 0.2455 0.8317  4 Ta 3.17-3.29, 3 Li 3.17-3.18, 4 Y 3.28-3.53
Y 0.4532 0.4532 0.4631  3 Ta 3.15, 4 Li 3.20-3.27, 2 Y 3.28
Ta 0.7024 0.7024 0.3166  2 Li 2.91, 5 Y 3.15-3.17

## Properties
formation energy	0.330	eV per atom
crystal system	monoclinic
relative energy among the computed polymorphs	0.079	eV/atom
energy	-25.4	eV per cell
total magnetic moment	0.0	μB per cell
symmetry	Cm (8)

---

# 7
A relaxed structure of ErSc2In2Ag2, computed with PBE-GGA.

a b c (Å): 8.6922 8.6922 8.6922
angles (deg): 31.68 31.68 31.68
Closest atoms and distances in Å follow each position.
Positions (direct):
Er 0.0000 0.0000 0.0000  6 In 3.27, 2 Sc 3.34
Sc 0.1348 0.1348 0.1348  3 Ag 2.85, 4 In 3.13-3.15, 3 Sc 3.16
Sc 0.8652 0.8652 0.8652  3 Ag 2.85, 4 In 3.13-3.15, 3 Sc 3.16
In 0.2614 0.2614 0.2614  3 Ag 2.84, 4 Sc 3.13-3.15
In 0.7386 0.7386 0.7386  3 Ag 2.84, 4 Sc 3.13-3.15
Ag 0.4358 0.4358 0.4358  3 In 2.84, 3 Sc 2.85, 1 Ag 3.18
Ag 0.5642 0.5642 0.5642  3 In 2.84, 3 Sc 2.85, 1 Ag 3.18

## Properties
formation energy	-0.244	eV per atom
crystal system	trigonal
energy	-30.1	eV per cell
total magnetic moment	0.0	μB per cell
symmetry	R-3m (166)

---

# 8
A relaxed structure of Tm2ScHg, computed with PBE-GGA.

a b c (Å): 10.3050 10.3050 10.3050
angles (deg): 19.70 19.70 19.70
Closest atoms and distances in Å follow each position.
Positions (direct):
Tm 0.0000 0.0000 0.0000  3 Hg 3.16, 3 Sc 3.33, 6 Tm 3.53
Tm 0.1745 0.1745 0.1745  3 Hg 3.15, 3 Sc 3.34
Sc 0.4205 0.4205 0.4205  6 Tm 3.33-3.34, 6 Sc 3.53
Hg 0.5871 0.5871 0.5871  6 Tm 3.15-3.16

## Properties
formation energy	-0.143	eV per atom
crystal system	trigonal
relative energy among the computed polymorphs	0.073	eV/atom
energy	-16.1	eV per cell
total magnetic moment	0.4	μB per cell
symmetry	R3m (160)

---

# 9
A relaxed structure of CrHS2, computed with PBE-GGA.

a b c (Å): 12.9848 12.9848 3.0474
angles (deg): 90.00 90.00 166.89
Closest atoms and distances in Å follow each position.
Positions (direct):
Cr 0.1443 0.8557 0.7500  6 S 2.28-2.37
Cr 0.8557 0.1443 0.2500  6 S 2.28-2.37
H 0.4439 0.5561 0.7500  2 S 1.62
H 0.5561 0.4439 0.2500  2 S 1.62
S 0.3154 0.6846 0.7500  4 Cr 2.37
S 0.4228 0.5772 0.2500  2 H 1.62
S 0.5772 0.4228 0.7500  2 H 1.62
S 0.6846 0.3154 0.2500  4 Cr 2.37

## Properties
crystal system	orthorhombic
relative energy among the computed polymorphs	0.289	eV/atom
energy	-43.9	eV per cell
total magnetic moment	1.1	μB per cell
symmetry	Cmcm (63)

---

# 10
A relaxed structure of Ba4PrO5, computed with PBE-GGA.

a b c (Å): 6.7400 6.7400 6.7400
angles (deg): 99.71 99.71 131.50
Closest atoms and distances in Å follow each position.
Positions (direct):
Ba 0.1024 0.6997 0.8021  6 O 2.73-3.04
Ba 0.3003 0.1024 0.4027  6 O 2.73-3.04
Ba 0.6997 0.8976 0.5973  6 O 2.73-3.04
Ba 0.8976 0.3003 0.1979  6 O 2.73-3.04
Pr 0.4766 0.4766 0.0000  5 O 2.38-2.48
O 0.0475 0.0475 0.0000  1 Pr 2.38
O 0.2302 0.4085 0.6391  1 Pr 2.48, 2 Ba 2.73-2.76
O 0.4085 0.7694 0.1782  1 Pr 2.48, 2 Ba 2.73-2.76
O 0.5911 0.2302 0.8218  1 Pr 2.48, 2 Ba 2.73-2.76
O 0.7694 0.5911 0.3609  1 Pr 2.48, 2 Ba 2.73-2.76

## Properties
crystal system	tetragonal
energy	-62.5	eV per cell
uncorrected formation energy	-25.3	eV per formula unit
total magnetic moment	0.0	μB per cell
symmetry	I4 (79)